No. 1
DFT (GGA-PBE) results for a relaxed Pm4Pr3Ni4 crystal.

a b c (Å): 4.7873 7.5226 8.8398
angles (deg): 115.18 105.71 90.00
Closest atoms and distances in Å follow each position.
Positions (direct):
Pm  0.3314  0.1107  0.6628  4 Ni 2.72-2.96
Pm  0.6686  0.4480  0.3372  4 Ni 2.72-2.96
Pm  0.6686  0.8893  0.3372  4 Ni 2.72-2.96
Pm  0.3314  0.5520  0.6628  4 Ni 2.72-2.96
Pr  0.1014  0.1014  0.2027  1 Pr 3.10, 4 Ni 3.10, 4 Pm 3.35
Pr  0.8986  0.8986  0.7973  1 Pr 3.10, 4 Ni 3.10, 4 Pm 3.35
Pr  0.0000  0.5000  0.0000  2 Ni 3.10
Ni  0.2033  0.7033  0.4065  6 Pm 2.87-2.96, 1 Pr 3.10
Ni  0.7967  0.2967  0.5935  6 Pm 2.87-2.96, 1 Pr 3.10
Ni  0.5000  0.8379  0.0000  1 Ni 2.44, 2 Pm 2.72
Ni  0.5000  0.1621  0.0000  1 Ni 2.44, 2 Pm 2.72

Space-group type: Immm (71)
Size of the total moment in μB/cell: 0.0
Raw total energy in eV per cell: -58.2



No. 2
DFT (GGA-PBE) results for a relaxed Pm2PrNi crystal.

a b c (Å): 3.8077 3.8077 9.8184
angles (deg): 78.82 78.82 60.00
Closest atoms and distances in Å follow each position.
Positions (direct):
Pr  0.5000  0.5000  0.5000  6 Pm 3.78, 6 Pr 3.81
Ni  0.0000  0.0000  0.0000  6 Pm 2.78
Pm  0.7261  0.7261  0.8218  3 Ni 2.78
Pm  0.2739  0.2739  0.1782  3 Ni 2.78

Offset from the most stable computed form in meV/atom: 116
Space-group type: R-3m (166)
Size of the total moment in μB/cell: 0.0



No. 3
DFT (GGA-PBE) results for a relaxed PmPr4Ni2 crystal.

a b c (Å): 4.0456 4.0456 15.3695
angles (deg): 82.44 82.44 60.00
Closest atoms and distances in Å follow each position.
Positions (direct):
Pm  0.5000  0.5000  0.5000  6 Pr 3.73, 6 Pm 4.05
Pr  0.7008  0.7008  0.8975  3 Ni 2.80
Pr  0.8973  0.8973  0.3082  3 Ni 2.82
Pr  0.2992  0.2992  0.1025  3 Ni 2.80
Pr  0.1027  0.1027  0.6918  3 Ni 2.82
Ni  0.5985  0.5985  0.2046  6 Pr 2.80-2.82
Ni  0.4015  0.4015  0.7954  6 Pr 2.80-2.82

Offset from the most stable computed form in meV/atom: 10
Space-group type: R-3m (166)
Size of the total moment in μB/cell: 0.0



No. 4
DFT (GGA-PBE) results for a relaxed PmPrNi2 crystal.

a b c (Å): 4.9449 4.9449 4.9449
angles (deg): 60.00 60.00 60.00
Closest atoms and distances in Å follow each position.
Positions (direct):
Pr  0.5000  0.5000  0.5000  8 Ni 3.03
Ni  0.2500  0.2500  0.2500  4 Pr 3.03, 4 Pm 3.03
Ni  0.7500  0.7500  0.7500  4 Pm 3.03, 4 Pr 3.03
Pm  0.0000  0.0000  0.0000  8 Ni 3.03

Offset from the most stable computed form in meV/atom: 102
Space-group type: Fm-3m (225)
Size of the total moment in μB/cell: 0.0



No. 5
DFT (GGA-PBE) results for a relaxed Pm3PrNi crystal.

a b c (Å): 5.4761 5.4761 5.4761
angles (deg): 90.00 90.00 90.00
Closest atoms and distances in Å follow each position.
Positions (direct):
Pr  0.5000  0.5000  0.5000  12 Pm 3.87
Ni  0.0000  0.0000  0.0000  6 Pm 2.74
Pm  0.0000  0.5000  0.0000  2 Ni 2.74
Pm  0.0000  0.0000  0.5000  2 Ni 2.74
Pm  0.5000  0.0000  0.0000  2 Ni 2.74

Offset from the most stable computed form in meV/atom: 116
Space-group type: Pm-3m (221)
Size of the total moment in μB/cell: 0.0



No. 6
DFT (GGA-PBE) results for a relaxed Pm2PrNi6 crystal.

a b c (Å): 3.9766 6.9634 6.9634
angles (deg): 120.00 90.00 90.00
Closest atoms and distances in Å follow each position.
Positions (direct):
Pm  0.0000  0.3333  0.6667  12 Ni 3.05
Pm  0.0000  0.6667  0.3333  12 Ni 3.05
Pr  0.0000  0.0000  0.0000  12 Ni 3.06
Ni  0.5000  0.3343  0.3343  3 Ni 2.31-2.33
Ni  0.5000  0.6657  0.6657  3 Ni 2.31-2.33
Ni  0.5000  0.0000  0.6657  3 Ni 2.31-2.33
Ni  0.5000  0.6657  0.0000  3 Ni 2.31-2.33
Ni  0.5000  0.3343  0.0000  3 Ni 2.31-2.33
Ni  0.5000  0.0000  0.3343  3 Ni 2.31-2.33

Space-group type: P6/mmm (191)
Size of the total moment in μB/cell: 0.7
Raw total energy in eV per cell: -51.9



No. 7
DFT (GGA-PBE) results for a relaxed Pm2Pr3Ni2 crystal.

a b c (Å): 3.7997 6.4084 9.1586
angles (deg): 112.15 90.00 107.25
Closest atoms and distances in Å follow each position.
Positions (direct):
Pm  0.8310  0.6620  0.1927  2 Ni 2.88
Pm  0.1690  0.3380  0.8073  2 Ni 2.88
Pr  0.5000  0.0000  0.0000  4 Ni 2.93
Pr  0.6156  0.2312  0.4271  2 Ni 2.89
Pr  0.3844  0.7688  0.5729  2 Ni 2.89
Ni  0.8352  0.6704  0.7770  2 Pm 2.88, 4 Pr 2.89-2.93
Ni  0.1648  0.3296  0.2230  2 Pm 2.88, 4 Pr 2.89-2.93

Space-group type: C2/m (12)
Size of the total moment in μB/cell: 0.0
Raw total energy in eV per cell: -36.5



No. 8
DFT (GGA-PBE) results for a relaxed PmPr3Ni3 crystal.

a b c (Å): 7.0002 7.0002 7.0424
angles (deg): 90.15 90.15 95.89
Closest atoms and distances in Å follow each position.
Positions (direct):
Pm  0.7470  0.7470  0.8741  4 Ni 2.77-2.95
Pm  0.2530  0.2530  0.1259  4 Ni 2.77-2.95
Pr  0.6669  0.6669  0.3755  3 Ni 2.90-2.93
Pr  0.1769  0.8231  0.5000  6 Ni 2.79-2.96
Pr  0.8231  0.1769  0.5000  6 Ni 2.79-2.96
Pr  0.2498  0.7502  0.0000  6 Ni 2.94-3.22
Pr  0.7502  0.2498  0.0000  6 Ni 2.94-3.22
Pr  0.3331  0.3331  0.6245  3 Ni 2.90-2.93
Ni  0.9416  0.9416  0.1795  1 Ni 2.76, 2 Pm 2.81-2.95, 5 Pr 2.93-2.96
Ni  0.9784  0.4984  0.7028  1 Pm 2.77, 4 Pr 2.79-3.07, 1 Ni 2.87
Ni  0.4984  0.9784  0.7028  1 Pm 2.77, 4 Pr 2.79-3.07, 1 Ni 2.87
Ni  0.0216  0.5016  0.2972  1 Pm 2.77, 4 Pr 2.79-3.07, 1 Ni 2.87
Ni  0.5016  0.0216  0.2972  1 Pm 2.77, 4 Pr 2.79-3.07, 1 Ni 2.87
Ni  0.0584  0.0584  0.8205  1 Ni 2.76, 2 Pm 2.81-2.95, 5 Pr 2.93-2.96

Space-group type: C2/m (12)
Size of the total moment in μB/cell: 0.0
Raw total energy in eV per cell: -75.3



- Which value of size of the total moment does entry 4 give?
  0.0 μB/cell